(1)
HfZn2Ge | the Alexandria database | GGA-PBE | relaxed; raw total energy = -4.575 eV per atom
1.0
3.9573 0.0000 0.0000
0.0000 3.9573 0.0000
0.0000 0.0000 4.2293
Hf Zn Ge
1 2 1
Direct
0.0000 0.0000 0.0000
0.0000 0.5000 0.5000
0.5000 0.0000 0.5000
0.5000 0.5000 0.0000


(2)
Hf3ZnGe | the Alexandria database | GGA-PBE | relaxed; energy above the lowest structure with this stoichiometry = 526 meV per atom; raw total energy = -6.715 eV per atom
1.0
4.9352 0.0000 0.0000
0.0000 4.9352 0.0000
0.0000 0.0000 4.9352
Hf Zn Ge
3 1 1
Direct
0.0000 0.0000 0.5000
0.0000 0.5000 0.0000
0.5000 0.0000 0.0000
0.5000 0.5000 0.5000
0.0000 0.0000 0.0000


(3)
Hf3ZnGe | the Alexandria database | GGA-PBE | relaxed; energy above the lowest structure with this stoichiometry = 0 meV per atom; raw total energy = -7.241 eV per atom
1.0
5.2688 -3.4326 0.0000
5.2688 3.4326 0.0000
-2.1241 0.0000 11.4423
Hf Zn Ge
12 4 4
Direct
0.0893 0.1905 0.8129
0.1759 0.3703 0.5961
0.1905 0.0893 0.3129
0.2051 0.7730 0.9734
0.2270 0.7949 0.5266
0.3703 0.1759 0.0961
0.6297 0.8241 0.9039
0.7730 0.2051 0.4734
0.7949 0.2270 0.0266
0.8095 0.9107 0.6871
0.8241 0.6297 0.4039
0.9107 0.8095 0.1871
0.3025 0.4923 0.3260
0.4923 0.3025 0.8260
0.5077 0.6975 0.1740
0.6975 0.5077 0.6740
0.0000 0.5000 0.0000
0.2918 0.7082 0.7500
0.5000 0.0000 0.5000
0.7082 0.2918 0.2500


(4)
Hf8Zn2Ge | the Alexandria database | GGA-PBE | relaxed; raw total energy = -7.874 eV per atom
1.0
3.8830 -6.4037 0.0000
3.8830 6.4037 0.0000
-1.7977 0.0000 4.5998
Hf Zn Ge
8 2 1
Direct
0.0868 0.3196 0.6136
0.2226 0.7774 0.0000
0.3196 0.0868 0.6136
0.3987 0.3987 0.1989
0.6013 0.6013 0.8010
0.6804 0.9132 0.3864
0.7774 0.2226 0.0000
0.9132 0.6804 0.3864
0.3070 0.6930 0.5000
0.6930 0.3070 0.5000
0.0000 0.0000 0.0000


| no. | V (Å³/cell) | energy of formation from the pure elements (meV per atom) |
| --- | --- | --- |
| 1 | 66.23 | -295 |
| 2 | 120.21 | 435 |
| 3 | 413.88 | -91 |
| 4 | 228.75 | 16 |